(i)
Material: LaTl2Cu2
Method: DFT, GGA-PBE
State: optimized geometry

SG   No. 127
DOS at the Fermi energy   4.6 states/eV per cell

a = 7.4473 Å, b = 7.4473 Å, c = 4.2437 Å
α = 90.00°, β = 90.00°, γ = 90.00°
Last column: nearest neighbours and their distance in Å.
Positions (direct):
La (0.0000, 0.0000, 0.0000)  4 Cu 3.00
La (0.5000, 0.5000, 0.0000)  4 Cu 3.00
Tl (0.1848, 0.3152, 0.5000)  6 Cu 3.00-3.12
Tl (0.3152, 0.8152, 0.5000)  6 Cu 3.00-3.12
Tl (0.6848, 0.1848, 0.5000)  6 Cu 3.00-3.12
Tl (0.8152, 0.6848, 0.5000)  6 Cu 3.00-3.12
Cu (0.1135, 0.6135, 0.0000)  1 Cu 2.39
Cu (0.3865, 0.1135, 0.0000)  1 Cu 2.39
Cu (0.6135, 0.8865, 0.0000)  1 Cu 2.39
Cu (0.8865, 0.3865, 0.0000)  1 Cu 2.39

---

(ii)
Material: LaTl2Cu2
Method: DFT, GGA-PBE
State: optimized geometry

SG   No. 139
DOS at the Fermi energy   3.5 states/eV per cell

a = 6.2572 Å, b = 6.2572 Å, c = 6.2572 Å
α = 136.03°, β = 136.03°, γ = 63.93°
Last column: nearest neighbours and their distance in Å.
Positions (direct):
La (0.0000, 0.0000, 0.0000)  8 Cu 3.54, 10 Tl 3.61-3.87
Tl (0.3644, 0.3644, 0.0000)  4 Cu 2.64, 1 Tl 2.88
Tl (0.6356, 0.6356, 0.0000)  4 Cu 2.64, 1 Tl 2.88
Cu (0.2500, 0.7500, 0.5000)  4 Tl 2.64
Cu (0.7500, 0.2500, 0.5000)  4 Tl 2.64

---

Most stable structure among those shown: (ii). Next: +0.073 eV/atom.